Compound: ScFeS2N
Source: the Alexandria database
Functional: PBE
Structure: optimized geometry

Calculated values
**Size of the total moment**: 0.1 μB/f.u.
**Energy relative to the elements, uncorrected**: -0.45 eV per atom

Unit cell a=4.6236 b=4.6236 c=3.4388 alpha=90.00 beta=90.00 gamma=90.00
Space group P4/mmm (No. 123)
Unique sites:
Sc  0.0000  0.0000  0.0000
Fe  0.5000  0.5000  0.5000
S  0.0000  0.5000  0.5000
N  0.5000  0.5000  0.0000

---

Compound: FeSeSN2
Source: the Alexandria database
Functional: PBE
Structure: optimized geometry

Calculated values
**Size of the total moment**: 0.0 μB/f.u.
**Energy relative to the elements, uncorrected**: 0.86 eV per atom

Unit cell a=3.5356 b=3.5356 c=5.6547 alpha=90.00 beta=90.00 gamma=90.00
Space group P4/mmm (No. 123)
Unique sites:
Fe  0.0000  0.0000  0.0000
Se  0.0000  0.0000  0.5000
S  0.5000  0.5000  0.5000
N  0.0000  0.5000  0.0000

---

Compound: FeSeSN2
Source: the Alexandria database
Functional: PBE
Structure: optimized geometry

Calculated values
**Size of the total moment**: 0.3 μB/f.u.
**Energy relative to the elements, uncorrected**: 1.58 eV per atom

Unit cell a=3.3523 b=3.3523 c=7.7196 alpha=90.00 beta=90.00 gamma=90.00
Space group P4/mmm (No. 123)
Unique sites:
Fe  0.0000  0.0000  0.0000
Se  0.5000  0.5000  0.0000
S  0.5000  0.5000  0.5000
N  0.0000  0.5000  0.5000

---

Compound: FeSeSN2
Source: the Alexandria database
Functional: PBE
Structure: optimized geometry

Calculated values
**Size of the total moment**: 0.0 μB/f.u.
**Energy relative to the elements, uncorrected**: 0.91 eV per atom

Unit cell a=3.5385 b=3.5385 c=5.7002 alpha=90.00 beta=90.00 gamma=90.00
Space group P4/mmm (No. 123)
Unique sites:
Fe  0.0000  0.0000  0.0000
Se  0.5000  0.5000  0.5000
S  0.0000  0.0000  0.5000
N  0.0000  0.5000  0.0000

---

Compound: FeSeSN2
Source: the Alexandria database
Functional: PBE
Structure: optimized geometry

Calculated values
**Size of the total moment**: 3.8 μB/f.u.
**Energy relative to the elements, uncorrected**: 1.59 eV per atom

Unit cell a=3.6060 b=3.6060 c=6.6243 alpha=90.00 beta=90.00 gamma=90.00
Space group P4/mmm (No. 123)
Unique sites:
Fe  0.0000  0.0000  0.0000
Se  0.5000  0.5000  0.5000
S  0.5000  0.5000  0.0000
N  0.0000  0.5000  0.5000

---

Compound: FeSnSN2
Source: the Alexandria database
Functional: PBE
Structure: optimized geometry

Calculated values
**Size of the total moment**: 0.0 μB/f.u.
**Energy relative to the elements, uncorrected**: 0.69 eV per atom

Unit cell a=3.7328 b=3.7328 c=4.8721 alpha=90.00 beta=90.00 gamma=90.00
Space group P4/mmm (No. 123)
Unique sites:
Fe  0.0000  0.0000  0.0000
Sn  0.5000  0.5000  0.5000
S  0.0000  0.0000  0.5000
N  0.0000  0.5000  0.0000

---

Question: The highest size of the total moment belongs to which entry?
Answer: number 5